First-principles (PBE-GGA) data for Nb2VW8 after structural relaxation, as listed in Alexandria via LeMat-Bulk.

abc: 16.2532 3.1913 7.1429
angles: 90.00 105.21 90.00
Space group C2/m (No. 12)
Symmetry-distinct sites (fractional):
Nb 0.2271 0.0000 0.1392 x4
V 0.0000 0.5000 0.5000 x2
W 0.0445 0.0000 0.2288 x4
W 0.0886 0.5000 0.9506 x4
W 0.1325 0.0000 0.6758 x4
W 0.1799 0.5000 0.4106 x4

***

First-principles (PBE-GGA) data for NbV3W4 after structural relaxation, as listed in Alexandria via LeMat-Bulk.

abc: 4.4166 4.4166 6.2775
angles: 90.00 90.00 90.00
Space group P4/mmm (No. 123)
Symmetry-distinct sites (fractional):
Nb 0.0000 0.0000 0.0000 x1
V 0.0000 0.0000 0.5000 x1
V 0.5000 0.5000 0.0000 x1
V 0.5000 0.5000 0.5000 x1
W 0.0000 0.5000 0.2564 x4

***

no.,total DFT energy (no corrections) (eV/atom),mass density (g/cm³)
1,-12.14,15.862
2,-11.20,13.304